First-principles (PBE with a Hubbard U) data for a geometry-optimized KRb2Cr2O7 structure, as listed in Alexandria via LeMat-Bulk.

Structure (extended XYZ):
```
12
Lattice="3.247 1.874 7.726 -3.247 1.874 7.726 0.000 -3.749 7.726" Properties=species:S:1:pos:R:3 pbc="T T T"
K 0.000 0.000 0.000
Rb 0.000 0.000 6.209
Rb 0.000 0.000 16.968
Cr 0.000 0.000 9.820
Cr 0.000 0.000 13.357
O -0.311 -1.542 9.258
O -1.180 1.040 9.258
O -1.180 -1.040 13.919
O 0.000 0.000 11.588
O 1.490 0.502 9.258
O -0.311 1.542 13.919
O 1.490 -0.502 13.919
```

Computed properties:
**Size of the total moment**: 1.000 μB/f.u.
**Total DFT energy (no corrections)**: -71.2 eV/f.u.
**DOS at the Fermi energy**: 6.78 states/eV per cell